Record 1
LiSnP4O12: relaxed, PBEsol.

Calculated values
E_form (uncorrected)   -46.93 kcal/mol of atoms
Spin magnetization   1.03 μB per formula unit
Offset from the most stable computed form   36 meV per atom

Lattice parameters (Å, degrees): 7.311 12.992 11.709 90.00 125.36 90.00
Fractional positions:
Li (0.205, 0.200, 0.093)
Li (0.205, 0.300, 0.593)
Li (0.795, 0.700, 0.407)
Li (0.795, 0.800, 0.907)
Sn (0.475, 0.722, 0.515)
Sn (0.475, 0.778, 0.015)
Sn (0.525, 0.222, 0.985)
Sn (0.525, 0.278, 0.485)
P (0.005, 0.112, 0.229)
P (0.005, 0.388, 0.729)
P (0.129, 0.605, 0.724)
P (0.129, 0.895, 0.224)
P (0.309, 0.633, 0.196)
P (0.309, 0.867, 0.696)
P (0.416, 0.086, 0.711)
P (0.416, 0.414, 0.211)
P (0.584, 0.586, 0.789)
P (0.584, 0.914, 0.289)
P (0.691, 0.133, 0.304)
P (0.691, 0.367, 0.804)
P (0.871, 0.105, 0.776)
P (0.871, 0.395, 0.276)
P (0.995, 0.612, 0.271)
P (0.995, 0.888, 0.771)
O (0.063, 0.138, 0.917)
O (0.063, 0.362, 0.417)
O (0.069, 0.505, 0.776)
O (0.069, 0.995, 0.276)
O (0.070, 0.641, 0.171)
O (0.070, 0.859, 0.671)
O (0.194, 0.619, 0.423)
O (0.194, 0.881, 0.923)
O (0.209, 0.172, 0.268)
O (0.209, 0.328, 0.768)
O (0.222, 0.680, 0.843)
O (0.222, 0.820, 0.343)
O (0.302, 0.522, 0.135)
O (0.302, 0.978, 0.635)
O (0.305, 0.714, 0.104)
O (0.305, 0.786, 0.604)
O (0.326, 0.561, 0.716)
O (0.326, 0.939, 0.216)
O (0.328, 0.166, 0.600)
O (0.328, 0.334, 0.100)
O (0.381, 0.101, 0.826)
O (0.381, 0.399, 0.326)
O (0.497, 0.636, 0.351)
O (0.497, 0.864, 0.851)
O (0.503, 0.136, 0.149)
O (0.503, 0.364, 0.649)
O (0.619, 0.601, 0.674)
O (0.619, 0.899, 0.174)
O (0.672, 0.666, 0.900)
O (0.672, 0.834, 0.400)
O (0.674, 0.061, 0.784)
O (0.674, 0.439, 0.284)
O (0.695, 0.214, 0.396)
O (0.695, 0.286, 0.896)
O (0.698, 0.022, 0.365)
O (0.698, 0.478, 0.865)
O (0.778, 0.180, 0.657)
O (0.778, 0.320, 0.157)
O (0.791, 0.672, 0.232)
O (0.791, 0.828, 0.732)
O (0.806, 0.119, 0.077)
O (0.806, 0.381, 0.577)
O (0.930, 0.141, 0.329)
O (0.930, 0.359, 0.829)
O (0.931, 0.005, 0.724)
O (0.931, 0.495, 0.224)
O (0.937, 0.638, 0.583)
O (0.937, 0.862, 0.083)

---

Record 2
LiSn2P3O12: relaxed, PBEsol.

Calculated values
E_form (uncorrected)   -47.84 kcal/mol of atoms
Spin magnetization   0.00 μB per formula unit
Offset from the most stable computed form   15 meV per atom

Lattice parameters (Å, degrees): 8.793 12.154 8.694 90.00 90.00 90.00
Fractional positions:
Li (0.030, 0.175, 0.461)
Li (0.470, 0.675, 0.539)
Li (0.530, 0.325, 0.539)
Li (0.970, 0.825, 0.461)
Sn (0.208, 0.386, 0.500)
Sn (0.215, 0.121, 0.999)
Sn (0.285, 0.621, 0.001)
Sn (0.292, 0.886, 0.500)
Sn (0.708, 0.114, 0.500)
Sn (0.715, 0.379, 0.001)
Sn (0.785, 0.879, 0.999)
Sn (0.792, 0.614, 0.500)
P (0.000, 0.000, 0.711)
P (0.000, 0.500, 0.206)
P (0.141, 0.855, 0.145)
P (0.142, 0.651, 0.648)
P (0.358, 0.151, 0.352)
P (0.359, 0.355, 0.855)
P (0.500, 0.000, 0.794)
P (0.500, 0.500, 0.289)
P (0.641, 0.645, 0.855)
P (0.642, 0.849, 0.352)
P (0.858, 0.349, 0.648)
P (0.859, 0.145, 0.145)
O (0.015, 0.312, 0.585)
O (0.022, 0.177, 0.101)
O (0.086, 0.920, 0.600)
O (0.091, 0.579, 0.106)
O (0.104, 0.427, 0.306)
O (0.109, 0.071, 0.803)
O (0.144, 0.846, 0.326)
O (0.146, 0.666, 0.821)
O (0.175, 0.532, 0.601)
O (0.181, 0.973, 0.100)
O (0.234, 0.223, 0.430)
O (0.238, 0.277, 0.920)
O (0.262, 0.777, 0.080)
O (0.266, 0.723, 0.570)
O (0.319, 0.473, 0.900)
O (0.325, 0.032, 0.399)
O (0.354, 0.166, 0.179)
O (0.356, 0.346, 0.674)
O (0.391, 0.571, 0.197)
O (0.396, 0.927, 0.694)
O (0.409, 0.079, 0.894)
O (0.414, 0.420, 0.400)
O (0.478, 0.677, 0.899)
O (0.485, 0.812, 0.415)
O (0.515, 0.188, 0.415)
O (0.522, 0.323, 0.899)
O (0.586, 0.580, 0.400)
O (0.591, 0.921, 0.894)
O (0.604, 0.073, 0.694)
O (0.609, 0.429, 0.197)
O (0.644, 0.654, 0.674)
O (0.646, 0.834, 0.179)
O (0.675, 0.968, 0.399)
O (0.681, 0.527, 0.900)
O (0.734, 0.277, 0.570)
O (0.738, 0.223, 0.080)
O (0.762, 0.723, 0.920)
O (0.766, 0.777, 0.430)
O (0.819, 0.027, 0.100)
O (0.825, 0.468, 0.601)
O (0.854, 0.334, 0.821)
O (0.856, 0.154, 0.326)
O (0.891, 0.929, 0.803)
O (0.896, 0.573, 0.306)
O (0.909, 0.421, 0.106)
O (0.914, 0.080, 0.600)
O (0.978, 0.823, 0.101)
O (0.985, 0.688, 0.585)

---

Record 3
LiSnP4O12: relaxed, PBEsol.

Calculated values
E_form (uncorrected)   -46.84 kcal/mol of atoms
Spin magnetization   0.85 μB per formula unit
Offset from the most stable computed form   40 meV per atom

Lattice parameters (Å, degrees): 9.404 9.404 9.352 90.00 90.00 90.00
Fractional positions:
Li (0.000, 0.000, 0.000)
Li (0.000, 0.500, 0.500)
Li (0.500, 0.000, 0.500)
Li (0.500, 0.500, 0.000)
Sn (0.250, 0.250, 0.000)
Sn (0.250, 0.250, 0.500)
Sn (0.750, 0.750, 0.000)
Sn (0.750, 0.750, 0.500)
P (0.026, 0.750, 0.250)
P (0.033, 0.750, 0.750)
P (0.250, 0.526, 0.250)
P (0.250, 0.533, 0.750)
P (0.250, 0.967, 0.750)
P (0.250, 0.974, 0.250)
P (0.467, 0.750, 0.750)
P (0.474, 0.750, 0.250)
P (0.526, 0.250, 0.750)
P (0.533, 0.250, 0.250)
P (0.750, 0.026, 0.750)
P (0.750, 0.033, 0.250)
P (0.750, 0.467, 0.250)
P (0.750, 0.474, 0.750)
P (0.967, 0.250, 0.250)
P (0.974, 0.250, 0.750)
O (0.045, 0.175, 0.131)
O (0.045, 0.325, 0.369)
O (0.052, 0.184, 0.627)
O (0.052, 0.316, 0.873)
O (0.134, 0.634, 0.319)
O (0.134, 0.866, 0.181)
O (0.139, 0.639, 0.825)
O (0.139, 0.861, 0.675)
O (0.175, 0.045, 0.869)
O (0.175, 0.455, 0.631)
O (0.184, 0.052, 0.373)
O (0.184, 0.448, 0.127)
O (0.316, 0.052, 0.127)
O (0.316, 0.448, 0.373)
O (0.325, 0.045, 0.631)
O (0.325, 0.455, 0.869)
O (0.361, 0.639, 0.675)
O (0.361, 0.861, 0.825)
O (0.366, 0.634, 0.181)
O (0.366, 0.866, 0.319)
O (0.448, 0.184, 0.873)
O (0.448, 0.316, 0.627)
O (0.455, 0.175, 0.369)
O (0.455, 0.325, 0.131)
O (0.545, 0.675, 0.869)
O (0.545, 0.825, 0.631)
O (0.552, 0.684, 0.373)
O (0.552, 0.816, 0.127)
O (0.634, 0.134, 0.681)
O (0.634, 0.366, 0.819)
O (0.639, 0.139, 0.175)
O (0.639, 0.361, 0.325)
O (0.675, 0.545, 0.131)
O (0.675, 0.955, 0.369)
O (0.684, 0.552, 0.627)
O (0.684, 0.948, 0.873)
O (0.816, 0.552, 0.873)
O (0.816, 0.948, 0.627)
O (0.825, 0.545, 0.369)
O (0.825, 0.955, 0.131)
O (0.861, 0.139, 0.325)
O (0.861, 0.361, 0.175)
O (0.866, 0.134, 0.819)
O (0.866, 0.366, 0.681)
O (0.948, 0.684, 0.127)
O (0.948, 0.816, 0.373)
O (0.955, 0.675, 0.631)
O (0.955, 0.825, 0.869)

---

Question: The lowest offset from the most stable computed form belongs to which entry?
Answer: LiSn2P3O12